Record 1
An optimized crystal structure of KNa2CuF6. Source: OQMD via LeMat-Bulk, functional PBE.

Unit cell a=5.821 b=5.821 c=5.821 alpha=121.45 beta=121.45 gamma=87.51
Atoms (fractional coordinates):
K 0.000 0.000 0.000
Na 0.250 0.750 0.500
Na 0.750 0.250 0.500
Cu 0.500 0.500 0.000
F 0.183 0.605 0.788
F 0.275 0.275 0.000
F 0.395 0.183 0.578
F 0.605 0.817 0.422
F 0.725 0.725 0.000
F 0.817 0.395 0.212

Calculated values
* final energy: -39.69 eV/f.u.

---

Record 2
An optimized crystal structure of ZrCoCuAs. Source: OQMD via LeMat-Bulk, functional PBE.

Unit cell a=4.376 b=4.376 c=4.376 alpha=60.00 beta=60.00 gamma=60.00
Atoms (fractional coordinates):
Zr 0.000 0.000 0.000
Co 0.750 0.750 0.750
Cu 0.250 0.250 0.250
As 0.500 0.500 0.500

Calculated values
* excess energy over the best structure of this formula in the dataset: 0.00 eV/f.u.

---

Record 3
An optimized crystal structure of LaGa2Pt2. Source: OQMD via LeMat-Bulk, functional PBE.

Unit cell a=6.286 b=6.286 c=6.286 alpha=140.18 beta=140.18 gamma=57.58
Atoms (fractional coordinates):
La 0.000 0.000 0.000
Ga 0.250 0.750 0.500
Ga 0.750 0.250 0.500
Pt 0.377 0.377 0.000
Pt 0.623 0.623 0.000

Calculated values
* final energy: -27.91 eV/f.u.

---

Record 4
An optimized crystal structure of NaGdInTe3. Source: OQMD via LeMat-Bulk, functional PBE.

Unit cell a=7.973 b=7.973 c=11.416 alpha=90.00 beta=90.00 gamma=147.70
Atoms (fractional coordinates):
Na 0.230 0.770 0.750
Na 0.770 0.230 0.250
Gd 0.000 0.000 0.000
Gd 0.000 0.000 0.500
In 0.476 0.524 0.250
In 0.524 0.476 0.750
Te 0.105 0.895 0.250
Te 0.359 0.641 0.050
Te 0.359 0.641 0.450
Te 0.641 0.359 0.550
Te 0.641 0.359 0.950
Te 0.895 0.105 0.750

Calculated values
* final energy: -22.92 eV/f.u.

---

Record 5
An optimized crystal structure of TbHoSi2Pd. Source: OQMD via LeMat-Bulk, functional PBE.

Unit cell a=5.654 b=5.654 c=10.126 alpha=115.82 beta=115.82 gamma=44.28
Atoms (fractional coordinates):
Tb 0.002 0.002 0.324
Tb 0.998 0.998 0.676
Ho 0.186 0.186 0.106
Ho 0.814 0.814 0.894
Si 0.367 0.367 0.435
Si 0.481 0.481 0.114
Si 0.519 0.519 0.886
Si 0.633 0.633 0.565
Pd 0.275 0.275 0.641
Pd 0.725 0.725 0.359

Calculated values
* excess energy over the best structure of this formula in the dataset: 0.02 eV/f.u.

---

Record 6
An optimized crystal structure of HfMgBeNi. Source: OQMD via LeMat-Bulk, functional PBE.

Unit cell a=4.333 b=4.333 c=4.333 alpha=60.00 beta=60.00 gamma=60.00
Atoms (fractional coordinates):
Hf 0.000 0.000 0.000
Mg 0.250 0.250 0.250
Be 0.500 0.500 0.500
Ni 0.750 0.750 0.750

Calculated values
* excess energy over the best structure of this formula in the dataset: 0.70 eV/f.u.

---

Record 7
An optimized crystal structure of GaFeCo2. Source: OQMD via LeMat-Bulk, functional PBE.

Unit cell a=4.010 b=4.010 c=7.185 alpha=90.00 beta=90.00 gamma=120.00
Atoms (fractional coordinates):
Ga 0.333 0.667 0.250
Ga 0.667 0.333 0.750
Fe 0.000 0.000 0.000
Fe 0.000 0.000 0.500
Co 0.333 0.667 0.593
Co 0.333 0.667 0.907
Co 0.667 0.333 0.093
Co 0.667 0.333 0.407

Calculated values
* final energy: -25.60 eV/f.u.

---

Record 8
An optimized crystal structure of SmZrFe. Source: OQMD via LeMat-Bulk, functional PBE.

Unit cell a=4.566 b=4.566 c=4.566 alpha=60.00 beta=60.00 gamma=60.00
Atoms (fractional coordinates):
Sm 0.000 0.000 0.000
Zr 0.500 0.500 0.500
Fe 0.250 0.250 0.250

Calculated values
* formation energy: 23.6 kJ per mole of atoms
* excess energy over the best structure of this formula in the dataset: 0.00 eV/f.u.